Record 1
First-principles (SCAN) data for LaReRu2 at its PBEsol-relaxed geometry, as listed in Alexandria via LeMat-Bulk.

POSCAR file:
```
LaReRu2
1.0
4.563 0.000 0.000
2.281 3.952 0.000
2.281 1.317 3.726
La Re Ru
1 1 2
direct
0.500 0.500 0.500
0.750 0.750 0.750
0.250 0.250 0.250
0.000 0.000 0.000
```

As for the space group: F-43m (216). The value obtained for the offset from the most stable computed form is 283 meV/atom. The theoretical density comes out at 13034 kg/m3. As for the density of states at the Fermi level: 3.81 states/eV/f.u. The calculation puts the calculated formation energy at 0.67 eV/atom.


Record 2
First-principles (SCAN) data for LiTe2Se at its PBEsol-relaxed geometry, as listed in Alexandria via LeMat-Bulk.

POSCAR file:
```
LiTe2Se
1.0
-1.318 -3.435 0.553
3.577 -0.930 2.746
-3.791 2.129 4.190
Te Li Se
2 1 1
direct
0.000 0.874 0.264
0.000 0.126 0.736
0.500 0.500 0.500
0.500 0.500 0.000
```

The calculation puts the uncorrected formation energy at -0.25 eV per atom. As for the space group: P2/m (10). The theoretical density comes out at 5534 kg/m3. As for the density of states at the Fermi level: 1.94 states/eV/f.u.


Record 3
First-principles (SCAN) data for NaMn2In2 at its PBEsol-relaxed geometry, as listed in Alexandria via LeMat-Bulk.

POSCAR file:
```
NaMn2In2
1.0
-2.702 1.499 -0.642
-0.906 -2.413 -1.821
-2.276 -3.682 8.747
In Na Mn
2 1 2
direct
0.630 0.630 0.260
0.370 0.370 0.740
0.000 0.000 0.000
0.750 0.250 0.500
0.250 0.750 0.500
```

As for the space group: I4/mmm (139). The theoretical density comes out at 6361 kg/m3. As for the density of states at the Fermi level: 2.76 states/eV/f.u. The calculation puts the calculated formation energy at 0.29 eV/atom.


Record 4
First-principles (SCAN) data for Sr5Hg3 at its PBEsol-relaxed geometry, as listed in Alexandria via LeMat-Bulk.

POSCAR file:
```
Sr5Hg3
1.0
-5.037 3.524 -3.114
-0.112 -1.839 -9.525
-8.220 -5.150 -0.155
Sr Hg
10 6
direct
0.290 0.129 0.291
0.210 0.709 0.871
0.581 0.709 0.129
0.250 0.500 0.500
0.919 0.871 0.291
0.790 0.291 0.129
0.419 0.291 0.871
0.081 0.129 0.709
0.750 0.500 0.500
0.710 0.871 0.709
0.341 0.818 0.500
0.159 0.500 0.182
0.841 0.500 0.818
0.659 0.182 0.500
0.250 0.000 0.000
0.750 0.000 0.000
```

As for the space group: I4/mcm (140). The value obtained for the offset from the most stable computed form is 23 meV/atom. The theoretical density comes out at 6094 kg/m3. As for the density of states at the Fermi level: 8.36 states/eV/f.u. The calculation puts the calculated formation energy at -0.50 eV/atom.


Record 5
First-principles (SCAN) data for SrTe2Rh at its PBEsol-relaxed geometry, as listed in Alexandria via LeMat-Bulk.

POSCAR file:
```
SrTe2Rh
1.0
-0.557 -0.508 -4.284
-1.435 -4.052 0.667
-3.747 4.027 2.218
Sr Te Rh
1 2 1
direct
0.250 0.750 0.500
0.000 0.000 0.000
0.750 0.250 0.500
0.500 0.500 0.000
```

The calculation puts the uncorrected formation energy at -0.32 eV per atom. As for the space group: I-4m2 (119). The value obtained for the offset from the most stable computed form is 573 meV/atom. The theoretical density comes out at 7713 kg/m3. As for the density of states at the Fermi level: 2.75 states/eV/f.u.


Record 6
First-principles (SCAN) data for LaYTl2 at its PBEsol-relaxed geometry, as listed in Alexandria via LeMat-Bulk.

POSCAR file:
```
LaYTl2
1.0
4.201 0.000 0.000
0.000 4.897 0.000
-2.100 -2.449 5.455
Y Tl La
1 2 1
direct
0.501 0.001 0.002
0.277 0.277 0.554
0.983 0.483 0.965
0.739 0.739 0.478
```

As for the space group: Imm2 (44). The theoretical density comes out at 9420 kg/m3. As for the density of states at the Fermi level: 1.92 states/eV/f.u. The calculation puts the calculated formation energy at -0.54 eV/atom.


Record 7
First-principles (SCAN) data for ScBe2Si at its PBEsol-relaxed geometry, as listed in Alexandria via LeMat-Bulk.

POSCAR file:
```
ScBe2Si
1.0
-0.803 0.371 2.580
1.748 -0.434 2.048
2.751 7.953 1.153
Sc Si Be
1 1 2
direct
0.500 0.500 0.500
0.000 0.000 0.000
0.260 0.260 0.220
0.740 0.740 0.780
```

The calculation puts the uncorrected formation energy at 0.52 eV per atom. As for the space group: R-3m (166). The theoretical density comes out at 2811 kg/m3. As for the density of states at the Fermi level: 1.98 states/eV/f.u.


Record 8
First-principles (SCAN) data for Li2TlIn2 at its PBEsol-relaxed geometry, as listed in Alexandria via LeMat-Bulk.

POSCAR file:
```
Li2TlIn2
1.0
-1.377 -2.118 -1.866
2.674 -6.130 4.983
-7.002 0.596 4.491
Li In Tl
4 4 2
direct
0.500 0.324 0.176
0.500 0.824 0.324
0.500 0.676 0.824
0.500 0.176 0.676
0.000 0.124 0.376
0.000 0.376 0.876
0.000 0.624 0.124
0.000 0.876 0.624
0.000 0.500 0.500
0.000 0.000 0.000
```

As for the space group: P4/mbm (127). The theoretical density comes out at 6808 kg/m3. As for the density of states at the Fermi level: 2.06 states/eV/f.u. The calculation puts the calculated formation energy at -0.23 eV/atom.